First-principles (PBE) data for TbTm2Se after structural relaxation, as listed in Alexandria.

For the electronic total energy, the calculation gives -4.93 eV/atom. Its offset from the most stable computed form is 122.1 meV per atom. For the calculated volume, the calculation gives 107.4 Å³/cell.

The structure belongs to space group P4/mmm (No. 123); the cell edges are 3.573, 3.573 and 8.413 Å and the angles 90.00°, 90.00° and 90.00°. The inequivalent atoms are Tb at (0.000, 0.000, 0.000), Tm at (0.500, 0.500, 0.290) and Se at (0.000, 0.000, 0.500).

***

First-principles (PBE) data for LaTb4Te6 after structural relaxation, as listed in Alexandria.

For the electronic total energy, the calculation gives -5.27 eV/atom. For the calculated volume, the calculation gives 1395.6 Å³/cell.

The structure belongs to space group Cmcm (No. 63); the cell edges are 4.353, 14.335 and 22.363 Å and the angles 90.00°, 90.00° and 90.00°. The inequivalent atoms are La at (0.000, 0.155, 0.250), Tb at (0.000, 0.091, 0.624), Tb at (0.000, 0.356, 0.535), Te at (0.000, 0.000, 0.000), Te at (0.000, 0.179, 0.750), Te at (0.000, 0.265, 0.093) and Te at (0.000, 0.450, 0.663).

***

First-principles (PBE) data for CdHgSb2I after structural relaxation, as listed in Alexandria.

For the electronic total energy, the calculation gives -1.57 eV/atom. Its offset from the most stable computed form is 106.3 meV per atom. For the calculated volume, the calculation gives 193.6 Å³/cell.

The structure belongs to space group P4/mmm (No. 123); the cell edges are 5.618, 5.618 and 6.135 Å and the angles 90.00°, 90.00° and 90.00°. The inequivalent atoms are Cd at (0.000, 0.000, 0.000), Hg at (0.500, 0.500, 0.500), Sb at (0.000, 0.500, 0.500) and I at (0.500, 0.500, 0.000).

***

First-principles (PBE) data for BaZn3Pt after structural relaxation, as listed in Alexandria.

For the electronic total energy, the calculation gives -2.71 eV/atom. Its offset from the most stable computed form is 102.1 meV per atom. For the calculated volume, the calculation gives 906.4 Å³/cell. Its energy relative to the elements is -0.3569 eV per atom.

The structure belongs to space group C2/c (No. 15); the cell edges are 13.461, 10.978 and 6.790 Å and the angles 90.00°, 115.40° and 90.00°. The inequivalent atoms are Ba at (0.139, 0.138, 0.490), Zn at (0.071, 0.344, 0.977), Zn at (0.142, 0.444, 0.659), Zn at (0.200, 0.158, 0.042), Pt at (0.000, 0.143, 0.750) and Pt at (0.000, 0.431, 0.250).